# 1
# Te2W

Crystalline Te2W at its relaxed geometry (PBE-GGA, Alexandria via LeMat-Bulk).

```
data_Te2W
_space_group_name_H-M_alt 'P -6 m 2'
_space_group_IT_number 187
_space_group_name_Hall 'P -6 2'
_cell_length_a 3.5553
_cell_length_b 3.5553
_cell_length_c 23.2631
_cell_angle_alpha 90.00
_cell_angle_beta 90.00
_cell_angle_gamma 120.00
loop_
_atom_site_label
_atom_site_type_symbol
_atom_site_fract_x
_atom_site_fract_y
_atom_site_fract_z
_atom_site_occupancy
Te1 Te 0.0000 0.0000 0.0782 1
Te2 Te 0.6667 0.3333 0.2430 1
Te3 Te 0.6667 0.3333 0.3993 1
W1 W 0.0000 0.0000 0.3212 1
W2 W 0.6667 0.3333 0.0000 1
```

Output
Total energy ... -58.4 eV for the cell shown
D(E_F) ... 0.000 states/eV/cell


# 2
# Na4Er3PaS8

Crystalline Na4Er3PaS8 at its relaxed geometry (PBE-GGA, Alexandria via LeMat-Bulk).

```
data_Na4Er3PaS8
_space_group_name_H-M_alt 'R -3 m'
_space_group_IT_number 166
_space_group_name_Hall '-R 3 2"'
_cell_length_a 7.9096
_cell_length_b 7.9096
_cell_length_c 20.1120
_cell_angle_alpha 90.00
_cell_angle_beta 90.00
_cell_angle_gamma 120.00
loop_
_atom_site_label
_atom_site_type_symbol
_atom_site_fract_x
_atom_site_fract_y
_atom_site_fract_z
_atom_site_occupancy
Na1 Na 0.0000 0.0000 0.0000 1
Na2 Na 0.0000 0.5000 0.0000 1
Er1 Er 0.0000 0.5000 0.5000 1
Pa1 Pa 0.0000 0.0000 0.5000 1
S1 S 0.0000 0.0000 0.2419 1
S2 S 0.0018 0.5009 0.7571 1
```

Output
Total energy ... -267.2 eV for the cell shown
D(E_F) ... 30.114 states/eV/cell


# 3
# LiCaScI6

Crystalline LiCaScI6 at its relaxed geometry (PBE-GGA, Alexandria via LeMat-Bulk).

```
data_LiCaScI6
_space_group_name_H-M_alt 'P -3 1 c'
_space_group_IT_number 163
_space_group_name_Hall '-P 3 2c'
_cell_length_a 7.5708
_cell_length_b 7.5708
_cell_length_c 13.7137
_cell_angle_alpha 90.00
_cell_angle_beta 90.00
_cell_angle_gamma 120.00
loop_
_atom_site_label
_atom_site_type_symbol
_atom_site_fract_x
_atom_site_fract_y
_atom_site_fract_z
_atom_site_occupancy
Li1 Li 0.0000 0.0000 0.0000 1
Ca1 Ca 0.3333 0.6667 0.2500 1
Sc1 Sc 0.3333 0.6667 0.7500 1
I1 I 0.0227 0.3525 0.6260 1
```

Output
Total energy ... -62.7 eV for the cell shown
D(E_F) ... 0.000 states/eV/cell


# 4
# Rb3GePd

Crystalline Rb3GePd at its relaxed geometry (PBE-GGA, Alexandria via LeMat-Bulk).

```
data_Rb3GePd
_space_group_name_H-M_alt 'P m -3 m'
_space_group_IT_number 221
_space_group_name_Hall '-P 4 2 3'
_cell_length_a 6.405
_cell_length_b 6.405
_cell_length_c 6.405
_cell_angle_alpha 90.00
_cell_angle_beta 90.00
_cell_angle_gamma 90.00
loop_
_atom_site_label
_atom_site_type_symbol
_atom_site_fract_x
_atom_site_fract_y
_atom_site_fract_z
_atom_site_occupancy
Rb1 Rb 0.000 0.000 0.500 1
Ge1 Ge 0.500 0.500 0.500 1
Pd1 Pd 0.000 0.000 0.000 1
```

Output
E_form ... 0.385 eV/atom
D(E_F) ... 0.903 states/eV/cell


# 5
# Rb6TlBi2

Crystalline Rb6TlBi2 at its relaxed geometry (PBE-GGA, Alexandria via LeMat-Bulk).

```
data_Rb6TlBi2
_space_group_name_H-M_alt 'R -3 m'
_space_group_IT_number 166
_space_group_name_Hall '-R 3 2"'
_cell_length_a 6.4401
_cell_length_b 6.4401
_cell_length_c 39.0237
_cell_angle_alpha 90.00
_cell_angle_beta 90.00
_cell_angle_gamma 120.00
loop_
_atom_site_label
_atom_site_type_symbol
_atom_site_fract_x
_atom_site_fract_y
_atom_site_fract_z
_atom_site_occupancy
Rb1 Rb 0.0000 0.0000 0.0784 1
Rb2 Rb 0.0000 0.0000 0.2057 1
Rb3 Rb 0.0000 0.0000 0.3090 1
Tl1 Tl 0.0000 0.0000 0.5000 1
Bi1 Bi 0.0000 0.0000 0.4096 1
```

Output
E_form ... -0.216 eV/atom
D(E_F) ... 19.187 states/eV/cell